# La8PmY2 | Alexandria | PBE | relaxed
# Space-group type: P-1 (2)
# Calculated volume (A^3/atom): 35.75
# Polymorph energy (0 for the lowest one) (meV/atom): 0
# Total moment (Bohr magnetons per cell): 0.00
# Formation energy from the elements (meV per atom): 18
data_La8PmY2
_symmetry_space_group_name_H-M 'P 1'
_symmetry_Int_Tables_number 1
_cell_length_a 6.390
_cell_length_b 6.415
_cell_length_c 9.790
_cell_angle_alpha 96.29
_cell_angle_beta 90.02
_cell_angle_gamma 99.60
loop_
_symmetry_equiv_pos_as_xyz
'x,y,z'
loop_
_atom_site_label
_atom_site_fract_x
_atom_site_fract_y
_atom_site_fract_z
La1 0.093 0.046 0.181
La2 0.183 0.589 0.362
La3 0.272 0.136 0.547
La4 0.363 0.685 0.730
La5 0.637 0.315 0.270
La6 0.728 0.864 0.453
La7 0.817 0.411 0.638
La8 0.907 0.954 0.819
Pm1 0.000 0.500 0.000
Y1 0.454 0.230 0.911
Y2 0.546 0.770 0.089

=====

# LiMnRe | Alexandria | PBE | relaxed
# Space-group type: F-43m (216)
# Calculated volume (A^3/atom): 14.43
# Polymorph energy (0 for the lowest one) (meV/atom): 554
# Total moment (Bohr magnetons per cell): 0.67
# Formation energy from the elements (meV per atom): 773
data_LiMnRe
_symmetry_space_group_name_H-M 'P 1'
_symmetry_Int_Tables_number 1
_cell_length_a 3.941
_cell_length_b 3.941
_cell_length_c 3.941
_cell_angle_alpha 60.00
_cell_angle_beta 60.00
_cell_angle_gamma 60.00
loop_
_symmetry_equiv_pos_as_xyz
'x,y,z'
loop_
_atom_site_label
_atom_site_fract_x
_atom_site_fract_y
_atom_site_fract_z
Li1 0.000 0.000 0.000
Mn1 0.250 0.250 0.250
Re1 0.500 0.500 0.500